(1)
A geometry-optimized YNi2Ag structure, computed with PBE-GGA.

Cell lengths 6.992, 4.205, 3.708 Å; angles 90.06, 57.89, 126.66 degrees
Positions (direct):
Ag1 0.500 0.500 0.000
Ni1 0.000 0.000 0.000
Ni2 0.500 0.000 0.500
Y1 0.000 0.500 0.500

Calculated values
- E above lowest polymorph: 2 meV per atom
- Crystal system: orthorhombic
- ΔE_f: -0.159 eV/atom
- Magnetic moment: 0.00 μB/atom

***

(2)
A geometry-optimized RbBaErF6 structure, computed with PBE-GGA.

Cell lengths 8.403, 8.197, 8.142 Å; angles 120.22, 121.07, 90.00 degrees
Positions (direct):
F1 0.811 0.597 0.264
F2 0.571 0.821 0.142
F3 0.429 0.179 0.858
F4 0.121 0.871 0.241
F5 0.189 0.833 0.736
F6 0.811 0.167 0.264
F7 0.453 0.597 0.264
F8 0.453 0.167 0.264
F9 0.547 0.403 0.736
F10 0.189 0.403 0.736
F11 0.547 0.833 0.736
F12 0.879 0.129 0.759
Ba1 0.500 0.000 0.500
Ba2 0.000 0.000 0.500
Rb1 0.146 0.396 0.292
Rb2 0.854 0.604 0.708
Er1 0.500 0.000 0.000
Er2 0.500 0.500 0.000

Calculated values
- Crystal system: orthorhombic
- Uncorrected formation energy: -33.30 eV/f.u.
- Magnetic moment: 0.01 μB/atom

***

(3)
A geometry-optimized Ba2HfOs structure, computed with PBE-GGA.

Cell lengths 3.510, 3.510, 10.741 Å; angles 99.15, 98.84, 90.02 degrees
Positions (direct):
Os1 0.974 0.782 0.474
Ba1 0.579 0.390 0.699
Ba2 0.787 0.587 0.077
Hf1 0.424 0.229 0.367

Calculated values
- E above lowest polymorph: 30 meV per atom
- Crystal system: triclinic
- ΔE_f: 0.219 eV/atom
- Magnetic moment: 0.00 μB/atom

***

(4)
A geometry-optimized KLi2In structure, computed with PBE-GGA.

Cell lengths 6.144, 6.144, 6.144 Å; angles 135.07, 135.07, 65.43 degrees
Positions (direct):
In1 0.500 0.500 0.000
Li1 0.250 0.750 0.500
Li2 0.000 0.000 0.000
K1 0.750 0.250 0.500

Calculated values
- Crystal system: tetragonal
- ΔE_f: 0.058 eV/atom
- Magnetic moment: 0.00 μB/atom

***

(5)
A geometry-optimized Pm5SiIr2 structure, computed with PBE-GGA.

Cell lengths 7.859, 7.859, 8.697 Å; angles 116.86, 116.86, 90.00 degrees
Positions (direct):
Pm1 0.024 0.524 0.719
Pm2 0.805 0.976 0.281
Pm3 0.195 0.024 0.719
Pm4 0.000 0.000 0.000
Pm5 0.305 0.805 0.281
Pm6 0.500 0.500 0.000
Pm7 0.695 0.195 0.719
Pm8 0.524 0.695 0.719
Pm9 0.476 0.305 0.281
Pm10 0.976 0.476 0.281
Si1 0.250 0.250 0.500
Si2 0.750 0.750 0.500
Ir1 0.365 0.865 0.000
Ir2 0.135 0.365 0.000
Ir3 0.865 0.635 0.000
Ir4 0.635 0.135 0.000

Calculated values
- Crystal system: tetragonal
- Uncorrected formation energy: -4.81 eV/f.u.
- Magnetic moment: 0.00 μB/atom

***

(6)
A geometry-optimized Be17NiW structure, computed with PBE-GGA.

Cell lengths 5.474, 5.474, 5.474 Å; angles 82.72, 82.72, 82.72 degrees
Positions (direct):
Be1 0.986 0.506 0.986
Be2 0.164 0.653 0.653
Be3 0.006 0.302 0.688
Be4 0.653 0.164 0.653
Be5 0.688 0.006 0.302
Be6 0.506 0.986 0.986
Be7 0.653 0.653 0.164
Be8 0.688 0.302 0.006
Be9 0.302 0.006 0.688
Be10 0.347 0.834 0.347
Be11 0.006 0.688 0.302
Be12 0.834 0.347 0.347
Be13 0.302 0.688 0.006
Be14 0.900 0.900 0.900
Be15 0.986 0.986 0.506
Be16 0.347 0.347 0.834
Be17 0.107 0.107 0.107
Ni1 0.368 0.368 0.368
W1 0.660 0.660 0.660

Calculated values
- Crystal system: trigonal
- ΔE_f: -0.102 eV/atom
- Magnetic moment: 0.00 μB/atom

***

(7)
A geometry-optimized SmTmAlTc structure, computed with PBE-GGA.

Cell lengths 4.992, 4.992, 4.992 Å; angles 60.00, 60.00, 60.00 degrees
Positions (direct):
Al1 0.000 0.000 0.000
Sm1 0.250 0.250 0.250
Tc1 0.500 0.500 0.500
Tm1 0.750 0.750 0.750

Calculated values
- Crystal system: cubic
- ΔE_f: -0.116 eV/atom
- Magnetic moment: 0.00 μB/atom

***

(8)
A geometry-optimized LaLuZnOs structure, computed with PBE-GGA.

Cell lengths 4.988, 4.988, 4.988 Å; angles 60.00, 60.00, 60.00 degrees
Positions (direct):
Zn1 0.000 0.000 0.000
Lu1 0.250 0.250 0.250
Os1 0.500 0.500 0.500
La1 0.750 0.750 0.750

Calculated values
- Crystal system: cubic
- ΔE_f: -0.190 eV/atom
- Magnetic moment: 0.00 μB/atom

***

(9)
A geometry-optimized LiAcPm structure, computed with PBE-GGA.

Cell lengths 3.754, 3.754, 8.611 Å; angles 90.00, 90.00, 120.00 degrees
Positions (direct):
Pm1 0.333 0.667 0.680
Ac1 0.667 0.333 0.327
Li1 0.000 0.000 0.993

Calculated values
- E above lowest polymorph: 88 meV per atom
- Crystal system: trigonal
- ΔE_f: 0.131 eV/atom
- Magnetic moment: 0.00 μB/atom

***

(10)
A geometry-optimized SrHf2ScIn structure, computed with PBE-GGA.

Cell lengths 5.422, 5.422, 5.741 Å; angles 90.00, 90.00, 90.00 degrees
Positions (direct):
Hf1 0.000 0.500 0.000
Hf2 0.500 0.000 0.000
Sr1 0.500 0.500 0.500
Sc1 0.000 0.000 0.000
In1 0.000 0.000 0.500

Calculated values
- Crystal system: tetragonal
- ΔE_f: 0.759 eV/atom
- Magnetic moment: 0.00 μB/atom

***

(11)
A geometry-optimized NaP2Pb2 structure, computed with PBE-GGA.

Cell lengths 5.313, 5.313, 6.233 Å; angles 64.77, 64.77, 90.00 degrees
Positions (direct):
P1 0.750 0.250 0.500
P2 0.250 0.750 0.500
Pb1 0.341 0.341 0.318
Pb2 0.659 0.659 0.682
Na1 0.000 0.000 0.000

Calculated values
- Crystal system: tetragonal
- ΔE_f: 0.143 eV/atom
- Magnetic moment: 0.00 μB/atom

***

(12)
A geometry-optimized ZnGaAgRu2 structure, computed with PBE-GGA.

Cell lengths 4.622, 4.430, 4.622 Å; angles 90.00, 90.00, 90.00 degrees
Each line ends with the local moment (μB).
Positions (direct):
Ag1 0.500 0.500 0.500  0.02
Ga1 0.000 0.500 0.000  -0.04
Zn1 0.000 0.000 0.000  -0.02
Ru1 0.500 0.000 0.000  1.11
Ru2 0.000 0.000 0.500  0.99

Calculated values
- Crystal system: tetragonal
- ΔE_f: 1.202 eV/atom
- Magnetic moment: 0.42 μB/atom